Record 1
This record from the Alexandria database describes LiPrTe2O6 after structural relaxation. The functional is PBE.

a = 9.2738 Å, b = 12.4300 Å, c = 6.7180 Å
α = 90.00°, β = 125.40°, γ = 90.00°
Last column: nearest neighbours and their distance in Å.
Space group C2/c (No. 15)
One atom of each set of equivalent atoms:
Li1 0.0000 0.1756 0.2500 (multiplicity 4)  4 O 1.95-1.99
Pr1 0.0000 0.0962 0.7500 (multiplicity 4)  8 O 2.52-2.57
Te1 0.1171 0.3832 0.6254 (multiplicity 8)  3 O 1.89-1.98
O1 0.1158 0.2328 0.5874 (multiplicity 8)  1 Te 1.89, 1 Li 1.99
O2 0.1343 0.0701 0.2041 (multiplicity 8)  1 Li 1.95, 1 Te 1.98
O3 0.1650 0.3827 0.9435 (multiplicity 8)  1 Te 1.91

Values from the calculation:
* formation energy from raw total energies: -1.83 eV/atom
* total magnetization: 0.0000 μB/atom

Record 2
This record from the Alexandria database describes BaNaAu after structural relaxation. The functional is PBE.

a = 12.0891 Å, b = 4.6496 Å, c = 8.5267 Å
α = 90.00°, β = 120.62°, γ = 90.00°
Last column: nearest neighbours and their distance in Å.
Space group C2/m (No. 12)
One atom of each set of equivalent atoms:
Ba1 0.0734 0.0000 0.3352 (multiplicity 4)  5 Au 3.42-3.47
Na1 0.1930 0.5000 0.0788 (multiplicity 4)  3 Au 3.12-3.24, 2 Na 3.32
Au1 0.1395 0.5000 0.6655 (multiplicity 4)  1 Au 3.11, 3 Na 3.12-3.24, 5 Ba 3.42-3.47

Values from the calculation:
* formation energy from the elements: -459 meV/atom
* ΔE to the lowest computed polymorph: 0.013 eV/atom
* total magnetization: 0.0000 μB/atom

Record 3
This record from the Alexandria database describes Ac15La4Ho after structural relaxation. The functional is PBE.

a = 5.5526 Å, b = 5.5526 Å, c = 27.7141 Å
α = 90.00°, β = 90.00°, γ = 90.00°
Last column: nearest neighbours and their distance in Å.
Space group P4/mmm (No. 123)
One atom of each set of equivalent atoms:
Ac1 0.0000 0.0000 0.0000 (multiplicity 1)  8 Ac 3.88, 4 Ho 3.93
Ac2 0.0000 0.0000 0.1982 (multiplicity 2)  4 La 3.93, 8 Ac 3.93-3.94
Ac3 0.0000 0.0000 0.3994 (multiplicity 2)  4 La 3.93, 8 Ac 3.93
Ac4 0.0000 0.5000 0.0979 (multiplicity 4)  8 Ac 3.88-3.93, 2 Ho 3.88, 2 La 3.94
Ac5 0.0000 0.5000 0.2989 (multiplicity 4)  8 Ac 3.93-3.94, 4 La 3.93
Ac6 0.0000 0.5000 0.5000 (multiplicity 2)  8 Ac 3.93, 4 La 3.93
La1 0.5000 0.5000 0.1985 (multiplicity 2)  12 Ac 3.93-3.94
La2 0.5000 0.5000 0.3994 (multiplicity 2)  12 Ac 3.93
Ho1 0.5000 0.5000 0.0000 (multiplicity 1)  12 Ac 3.88-3.93

Values from the calculation:
* formation energy from the elements: 26 meV/atom
* total magnetization: 0.0001 μB/atom

Record 4
This record from the Alexandria database describes HoTiCuPt after structural relaxation. The functional is PBE.

a = 6.6244 Å, b = 6.6244 Å, c = 6.6244 Å
α = 90.00°, β = 90.00°, γ = 90.00°
Last column: nearest neighbours and their distance in Å.
Space group F-43m (No. 216)
One atom of each set of equivalent atoms:
Ho1 0.0000 0.0000 0.0000 (multiplicity 4)  4 Cu 2.87, 4 Pt 2.87
Ti1 0.0000 0.0000 0.5000 (multiplicity 4)  4 Cu 2.87, 4 Pt 2.87
Cu1 0.2500 0.2500 0.2500 (multiplicity 4)  4 Ho 2.87, 4 Ti 2.87
Pt1 0.2500 0.2500 0.7500 (multiplicity 4)  4 Ho 2.87, 4 Ti 2.87

Values from the calculation:
* formation energy from the elements: -510 meV/atom
* total magnetization: 0.2080 μB/atom

Record 5
This record from the Alexandria database describes AgOsW2 after structural relaxation. The functional is PBE.

a = 7.3248 Å, b = 7.3248 Å, c = 5.3779 Å
α = 90.00°, β = 90.00°, γ = 90.00°
Last column: nearest neighbours and their distance in Å.
Space group I-42d (No. 122)
One atom of each set of equivalent atoms:
Ag1 0.0000 0.0000 0.0000 (multiplicity 4)  2 Os 2.69, 4 W 2.89
Os1 0.0000 0.0000 0.5000 (multiplicity 4)  4 W 2.48, 2 Ag 2.69
W1 0.2092 0.2500 0.6250 (multiplicity 8)  2 Os 2.48, 2 W 2.75

Values from the calculation:
* formation energy from the elements: 1015 meV/atom
* ΔE to the lowest computed polymorph: 0.654 eV/atom
* total magnetization: 0.0000 μB/atom

Record 6
This record from the Alexandria database describes CeHo2Er after structural relaxation. The functional is PBE.

a = 3.5055 Å, b = 3.5055 Å, c = 9.9461 Å
α = 90.00°, β = 90.00°, γ = 90.00°
Last column: nearest neighbours and their distance in Å.
Space group P4/mmm (No. 123)
One atom of each set of equivalent atoms:
Ce1 0.0000 0.0000 0.0000 (multiplicity 1)  8 Ho 3.49, 4 Ce 3.51
Ho1 0.5000 0.5000 0.2471 (multiplicity 2)  4 Ce 3.49, 4 Ho 3.51, 4 Er 3.53
Er1 0.0000 0.0000 0.5000 (multiplicity 1)  4 Er 3.51, 8 Ho 3.53

Values from the calculation:
* formation energy from the elements: 61 meV/atom
* ΔE to the lowest computed polymorph: 0.006 eV/atom
* total magnetization: 0.1555 μB/atom

Record 7
This record from the Alexandria database describes BiPb3W after structural relaxation. The functional is PBE.

a = 5.8241 Å, b = 5.8241 Å, c = 5.8241 Å
α = 90.00°, β = 90.00°, γ = 90.00°
Last column: nearest neighbours and their distance in Å.
Space group Pm-3m (No. 221)
One atom of each set of equivalent atoms:
Bi1 0.0000 0.0000 0.0000 (multiplicity 1)  6 Pb 2.91
Pb1 0.0000 0.0000 0.5000 (multiplicity 3)  2 Bi 2.91
W1 0.5000 0.5000 0.5000 (multiplicity 1)  12 Pb 4.12

Values from the calculation:
* formation energy from the elements: 2136 meV/atom
* ΔE to the lowest computed polymorph: 1.393 eV/atom
* total magnetization: 0.0000 μB/atom

Record 8
This record from the Alexandria database describes ZnReHI after structural relaxation. The functional is PBE.

a = 3.3028 Å, b = 3.3865 Å, c = 6.6813 Å
α = 101.02°, β = 90.22°, γ = 90.00°
Last column: nearest neighbours and their distance in Å.
Space group P1 (No. 1)
One atom of each set of equivalent atoms:
Zn1 0.0000 0.0000 0.0000 (multiplicity 1)  2 H 2.48, 4 Re 2.67-2.68
Re1 0.4986 0.4290 0.8096 (multiplicity 1)  2 H 1.79-1.80
H1 0.4985 0.8950 0.7186 (multiplicity 1)  2 Re 1.79-1.80
I1 0.9963 0.3135 0.4900 (multiplicity 1)  2 Re 2.67, 4 H 2.79-2.81

Values from the calculation:
* ΔE to the lowest computed polymorph: 0.000 eV/atom
* total magnetization: 0.0000 μB/atom

no.,calculated density (g cm⁻³)
1,5.25
2,5.75
3,8.02
4,10.77
5,15.33
6,8.66
7,8.53
8,8.59